# 1
Below is a relaxed Tb6NdTl3 crystal, with properties calculated at the PBE-GGA level.

Summary:
space group: No. 11
total DFT energy (no corrections): -4.162 eV per atom
M_tot: 0.000 Bohr magnetons per cell
D(E_F): 1.19 states/eV/atom

Cell lengths 5.2457, 10.1755, 11.4253 Å; angles 100.87, 90.00, 90.00 degrees
Closest atoms and distances in Å follow each position.
Element x y z (fractional)
1 Tb 0.7500 0.9164 0.0924  4 Tl 3.24-3.40, 3 Tb 3.53-3.57, 1 Nd 3.56
2 Tl 0.2500 0.7676 0.9638  7 Tb 3.20-3.52
3 Tl 0.2500 0.5378 0.3884  8 Tb 3.23-3.35
4 Tb 0.7500 0.3565 0.3151  5 Tl 3.20-3.37, 2 Tb 3.50, 1 Nd 3.51
5 Nd 0.7500 0.0448 0.4044  10 Tb 3.51-3.66, 2 Nd 3.64
6 Tb 0.2500 0.4438 0.0938  6 Tl 3.19-3.38
7 Tb 0.2500 0.1339 0.2219  8 Tb 3.42-3.72, 2 Nd 3.57, 2 Tl 3.63
8 Tb 0.2500 0.2762 0.5182  4 Tl 3.28-3.29, 1 Tb 3.42, 3 Nd 3.54-3.60
9 Tb 0.2500 0.8110 0.2768  4 Tl 3.24-3.52, 1 Tb 3.46
10 Tb 0.7500 0.1890 0.7232  4 Tl 3.24-3.52, 1 Tb 3.46
11 Tb 0.7500 0.7238 0.4818  4 Tl 3.28-3.29, 1 Tb 3.42, 3 Nd 3.54-3.60
12 Tb 0.7500 0.5562 0.9062  6 Tl 3.19-3.38
13 Tl 0.7500 0.6313 0.1902  8 Tb 3.19-3.37
14 Tb 0.7500 0.8661 0.7781  8 Tb 3.42-3.72, 2 Nd 3.57, 2 Tl 3.63
15 Tl 0.7500 0.4622 0.6116  8 Tb 3.23-3.35
16 Tb 0.2500 0.6435 0.6849  5 Tl 3.20-3.37, 2 Tb 3.50, 1 Nd 3.51
17 Tb 0.2500 0.0836 0.9076  4 Tl 3.24-3.40, 3 Tb 3.53-3.57, 1 Nd 3.56
18 Nd 0.2500 0.9552 0.5956  10 Tb 3.51-3.66, 2 Nd 3.64
19 Tl 0.2500 0.3687 0.8098  8 Tb 3.19-3.37
20 Tl 0.7500 0.2324 0.0362  7 Tb 3.20-3.52

=====

# 2
Below is a relaxed MnVPt crystal, with properties calculated at the PBE-GGA level.

Summary:
space group: No. 189
total DFT energy (no corrections): -8.322 eV per atom
M_tot: 12.248 Bohr magnetons per cell
D(E_F): 1.20 states/eV/atom

Cell lengths 7.3651, 7.3651, 5.4540 Å; angles 90.00, 90.00, 120.00 degrees
Closest atoms and distances in Å follow each position.
Element x y z (fractional)
1 V 0.3333 0.6667 0.0000  3 Pt 2.57, 6 Mn 2.73, 2 V 2.73
2 Mn 0.3610 0.3610 0.7500  5 V 2.66-2.73, 2 Mn 2.73, 6 Pt 2.82-2.83
3 V 0.3333 0.6667 0.5000  3 Pt 2.57, 6 Mn 2.73, 2 V 2.73
4 V 0.0000 0.0000 0.7500  6 Pt 2.62, 3 Mn 2.66, 2 V 2.73
5 Mn 0.0000 0.6390 0.2500  5 V 2.66-2.73, 2 Mn 2.73, 6 Pt 2.82-2.83
6 V 0.0000 0.0000 0.2500  6 Pt 2.62, 3 Mn 2.66, 2 V 2.73
7 Mn 0.6390 0.0000 0.7500  5 V 2.66-2.73, 2 Mn 2.73, 6 Pt 2.82-2.83
8 Pt 0.6959 0.6959 0.5000  4 V 2.57-2.62, 2 Pt 2.73, 6 Mn 2.82-2.83
9 Pt 0.0000 0.3041 0.5000  4 V 2.57-2.62, 2 Pt 2.73, 6 Mn 2.82-2.83
10 Pt 0.0000 0.3041 0.0000  4 V 2.57-2.62, 2 Pt 2.73, 6 Mn 2.82-2.83
11 Pt 0.6959 0.6959 0.0000  4 V 2.57-2.62, 2 Pt 2.73, 6 Mn 2.82-2.83
12 Mn 0.3610 0.3610 0.2500  5 V 2.66-2.73, 2 Mn 2.73, 6 Pt 2.82-2.83
13 Mn 0.6390 0.0000 0.2500  5 V 2.66-2.73, 2 Mn 2.73, 6 Pt 2.82-2.83
14 Mn 0.0000 0.6390 0.7500  5 V 2.66-2.73, 2 Mn 2.73, 6 Pt 2.82-2.83
15 V 0.6667 0.3333 0.5000  3 Pt 2.57, 6 Mn 2.73, 2 V 2.73
16 Pt 0.3041 0.0000 0.5000  4 V 2.57-2.62, 2 Pt 2.73, 6 Mn 2.82-2.83
17 V 0.6667 0.3333 0.0000  3 Pt 2.57, 6 Mn 2.73, 2 V 2.73
18 Pt 0.3041 0.0000 0.0000  4 V 2.57-2.62, 2 Pt 2.73, 6 Mn 2.82-2.83

=====

# 3
Below is a relaxed Ru2WSe crystal, with properties calculated at the PBE-GGA level.

Summary:
space group: No. 160
formation energy from raw total energies: 0.323 eV/atom
total DFT energy (no corrections): -8.424 eV per atom
M_tot: 0.000 Bohr magnetons per cell
D(E_F): 0.75 states/eV/atom

Cell lengths 8.6024, 8.6024, 8.6024 Å; angles 19.26, 19.26, 19.26 degrees
Closest atoms and distances in Å follow each position.
Element x y z (fractional)
1 Se 0.5024 0.5024 0.5024  3 Ru 2.59, 3 W 2.73, 6 Se 2.88
2 Ru 0.2476 0.2476 0.2476  3 Se 2.59, 9 Ru 2.72-2.88
3 Ru 0.9995 0.9995 0.9995  3 W 2.71, 9 Ru 2.72-2.88
4 W 0.7505 0.7505 0.7505  3 Ru 2.71, 3 Se 2.73, 6 W 2.88

=====

# 4
Below is a relaxed HPd3Se crystal, with properties calculated at the PBE-GGA level.

Summary:
space group: No. 221
total DFT energy (no corrections): -4.497 eV per atom
M_tot: 0.000 Bohr magnetons per cell
D(E_F): 0.63 states/eV/atom

Cell lengths 4.0697, 4.0697, 4.0697 Å; angles 90.00, 90.00, 90.00 degrees
Closest atoms and distances in Å follow each position.
Element x y z (fractional)
1 Pd 0.0000 0.0000 0.5000  2 H 2.03
2 H 0.0000 0.0000 0.0000  6 Pd 2.03
3 Pd 0.0000 0.5000 0.0000  2 H 2.03
4 Se 0.5000 0.5000 0.5000  12 Pd 2.88
5 Pd 0.5000 0.0000 0.0000  2 H 2.03

=====

# 5
Below is a relaxed TiNbCrRu crystal, with properties calculated at the PBE-GGA level.

Summary:
space group: No. 216
total DFT energy (no corrections): -9.498 eV per atom
M_tot: 0.001 Bohr magnetons per cell
D(E_F): 0.83 states/eV/atom

Cell lengths 4.3842, 4.3842, 4.3842 Å; angles 60.00, 60.00, 60.00 degrees
Closest atoms and distances in Å follow each position.
Element x y z (fractional)
1 Ti 0.2500 0.2500 0.2500  4 Cr 2.68, 4 Ru 2.68
2 Cr 0.0000 0.0000 0.0000  4 Nb 2.68, 4 Ti 2.68
3 Ru 0.5000 0.5000 0.5000  4 Ti 2.68, 4 Nb 2.68
4 Nb 0.7500 0.7500 0.7500  4 Cr 2.68, 4 Ru 2.68

=====

# 6
Below is a relaxed TiV3Sb crystal, with properties calculated at the PBE-GGA level.

Summary:
space group: No. 221
formation energy from raw total energies: 0.983 eV/atom
total DFT energy (no corrections): -6.891 eV per atom
M_tot: 0.000 Bohr magnetons per cell
D(E_F): 0.77 states/eV/atom

Cell lengths 4.4559, 4.4559, 4.4559 Å; angles 90.00, 90.00, 90.00 degrees
Closest atoms and distances in Å follow each position.
Element x y z (fractional)
1 V 0.0000 0.0000 0.5000  2 Ti 2.23
2 Ti 0.0000 0.0000 0.0000  6 V 2.23
3 V 0.5000 0.0000 0.0000  2 Ti 2.23
4 V 0.0000 0.5000 0.0000  2 Ti 2.23
5 Sb 0.5000 0.5000 0.5000  12 V 3.15